(1)
# ScMnTc2 PBE relaxed
# Uncorrected energy, eV/atom: -8.711
# Energy relative to the lowest polymorph listed for this composition, meV/atom: 378
# Space group: No. 122
# Formation energy from the elements, eV per atom: 0.3468
data_ScMnTc2
_space_group_name_H-M_alt 'P 1'
_space_group_IT_number 1
_cell_length_a 7.097
_cell_length_b 7.097
_cell_length_c 5.178
_cell_angle_alpha 90.00
_cell_angle_beta 90.00
_cell_angle_gamma 90.00
loop_
_space_group_symop_operation_xyz
'x,y,z'
loop_
_atom_site_label
_atom_site_type_symbol
_atom_site_fract_x
_atom_site_fract_y
_atom_site_fract_z
Sc1 Sc 0.000 0.000 0.000
Sc2 Sc 0.000 0.500 0.250
Sc3 Sc 0.500 0.000 0.750
Sc4 Sc 0.500 0.500 0.500
Mn1 Mn 0.000 0.000 0.500
Mn2 Mn 0.000 0.500 0.750
Mn3 Mn 0.500 0.000 0.250
Mn4 Mn 0.500 0.500 0.000
Tc1 Tc 0.191 0.250 0.625
Tc2 Tc 0.250 0.691 0.875
Tc3 Tc 0.250 0.809 0.375
Tc4 Tc 0.309 0.250 0.125
Tc5 Tc 0.691 0.750 0.125
Tc6 Tc 0.750 0.191 0.375
Tc7 Tc 0.750 0.309 0.875
Tc8 Tc 0.809 0.750 0.625



(2)
# ScMn3Tc PBE relaxed
# Uncorrected energy, eV/atom: -6.935
# Energy relative to the lowest polymorph listed for this composition, meV/atom: 1057
# Space group: No. 221
# Formation energy from the elements, eV per atom: 1.9058
data_ScMn3Tc
_space_group_name_H-M_alt 'P 1'
_space_group_IT_number 1
_cell_length_a 4.195
_cell_length_b 4.195
_cell_length_c 4.195
_cell_angle_alpha 90.00
_cell_angle_beta 90.00
_cell_angle_gamma 90.00
loop_
_space_group_symop_operation_xyz
'x,y,z'
loop_
_atom_site_label
_atom_site_type_symbol
_atom_site_fract_x
_atom_site_fract_y
_atom_site_fract_z
Sc1 Sc 0.000 0.000 0.000
Mn1 Mn 0.000 0.000 0.500
Mn2 Mn 0.000 0.500 0.000
Mn3 Mn 0.500 0.000 0.000
Tc1 Tc 0.500 0.500 0.500



(3)
# ScMn2Tc PBE relaxed
# Uncorrected energy, eV/atom: -8.708
# Energy relative to the lowest polymorph listed for this composition, meV/atom: 23
# Space group: No. 123
# Formation energy from the elements, eV per atom: 0.0510
data_ScMn2Tc
_space_group_name_H-M_alt 'P 1'
_space_group_IT_number 1
_cell_length_a 2.995
_cell_length_b 2.995
_cell_length_c 6.234
_cell_angle_alpha 90.00
_cell_angle_beta 90.00
_cell_angle_gamma 90.00
loop_
_space_group_symop_operation_xyz
'x,y,z'
loop_
_atom_site_label
_atom_site_type_symbol
_atom_site_fract_x
_atom_site_fract_y
_atom_site_fract_z
Sc1 Sc 0.000 0.000 0.000
Mn1 Mn 0.500 0.500 0.274
Mn2 Mn 0.500 0.500 0.726
Tc1 Tc 0.000 0.000 0.500



(4)
# ScMn2Tc PBE relaxed
# Uncorrected energy, eV/atom: -8.684
# Energy relative to the lowest polymorph listed for this composition, meV/atom: 47
# Space group: No. 216
# Formation energy from the elements, eV per atom: 0.0752
data_ScMn2Tc
_space_group_name_H-M_alt 'P 1'
_space_group_IT_number 1
_cell_length_a 6.169
_cell_length_b 6.169
_cell_length_c 6.169
_cell_angle_alpha 90.00
_cell_angle_beta 90.00
_cell_angle_gamma 90.00
loop_
_space_group_symop_operation_xyz
'x,y,z'
loop_
_atom_site_label
_atom_site_type_symbol
_atom_site_fract_x
_atom_site_fract_y
_atom_site_fract_z
Sc1 Sc 0.000 0.000 0.000
Sc2 Sc 0.000 0.500 0.500
Sc3 Sc 0.500 0.000 0.500
Sc4 Sc 0.500 0.500 0.000
Mn1 Mn 0.000 0.000 0.500
Mn2 Mn 0.000 0.500 0.000
Mn3 Mn 0.250 0.250 0.250
Mn4 Mn 0.250 0.750 0.750
Mn5 Mn 0.500 0.000 0.000
Mn6 Mn 0.500 0.500 0.500
Mn7 Mn 0.750 0.250 0.750
Mn8 Mn 0.750 0.750 0.250
Tc1 Tc 0.250 0.250 0.750
Tc2 Tc 0.250 0.750 0.250
Tc3 Tc 0.750 0.250 0.250
Tc4 Tc 0.750 0.750 0.750



(5)
# ScMn2Tc PBE relaxed
# Uncorrected energy, eV/atom: -8.731
# Energy relative to the lowest polymorph listed for this composition, meV/atom: 0
# Space group: No. 225
# Formation energy from the elements, eV per atom: 0.0277
data_ScMn2Tc
_space_group_name_H-M_alt 'P 1'
_space_group_IT_number 1
_cell_length_a 6.023
_cell_length_b 6.023
_cell_length_c 6.023
_cell_angle_alpha 90.00
_cell_angle_beta 90.00
_cell_angle_gamma 90.00
loop_
_space_group_symop_operation_xyz
'x,y,z'
loop_
_atom_site_label
_atom_site_type_symbol
_atom_site_fract_x
_atom_site_fract_y
_atom_site_fract_z
Sc1 Sc 0.000 0.000 0.000
Sc2 Sc 0.000 0.500 0.500
Sc3 Sc 0.500 0.000 0.500
Sc4 Sc 0.500 0.500 0.000
Mn1 Mn 0.250 0.250 0.250
Mn2 Mn 0.250 0.250 0.750
Mn3 Mn 0.250 0.750 0.250
Mn4 Mn 0.250 0.750 0.750
Mn5 Mn 0.750 0.250 0.250
Mn6 Mn 0.750 0.250 0.750
Mn7 Mn 0.750 0.750 0.250
Mn8 Mn 0.750 0.750 0.750
Tc1 Tc 0.000 0.000 0.500
Tc2 Tc 0.000 0.500 0.000
Tc3 Tc 0.500 0.000 0.000
Tc4 Tc 0.500 0.500 0.500



(6)
# Sc2Mn2Tc PBE relaxed
# Uncorrected energy, eV/atom: -8.319
# Energy relative to the lowest polymorph listed for this composition, meV/atom: 0
# Space group: No. 127
# Formation energy from the elements, eV per atom: -0.0450
data_Sc2Mn2Tc
_space_group_name_H-M_alt 'P 1'
_space_group_IT_number 1
_cell_length_a 6.051
_cell_length_b 6.051
_cell_length_c 4.433
_cell_angle_alpha 90.00
_cell_angle_beta 90.00
_cell_angle_gamma 90.00
loop_
_space_group_symop_operation_xyz
'x,y,z'
loop_
_atom_site_label
_atom_site_type_symbol
_atom_site_fract_x
_atom_site_fract_y
_atom_site_fract_z
Sc1 Sc 0.180 0.320 0.000
Sc2 Sc 0.320 0.820 0.000
Sc3 Sc 0.680 0.180 0.000
Sc4 Sc 0.820 0.680 0.000
Mn1 Mn 0.123 0.623 0.500
Mn2 Mn 0.377 0.123 0.500
Mn3 Mn 0.623 0.877 0.500
Mn4 Mn 0.877 0.377 0.500
Tc1 Tc 0.000 0.000 0.500
Tc2 Tc 0.500 0.500 0.500



(7)
# ScMnTc2 PBE relaxed
# Uncorrected energy, eV/atom: -8.848
# Energy relative to the lowest polymorph listed for this composition, meV/atom: 241
# Space group: No. 166
# Formation energy from the elements, eV per atom: 0.2099
data_ScMnTc2
_space_group_name_H-M_alt 'P 1'
_space_group_IT_number 1
_cell_length_a 2.876
_cell_length_b 2.876
_cell_length_c 25.824
_cell_angle_alpha 90.00
_cell_angle_beta 90.00
_cell_angle_gamma 120.00
loop_
_space_group_symop_operation_xyz
'x,y,z'
loop_
_atom_site_label
_atom_site_type_symbol
_atom_site_fract_x
_atom_site_fract_y
_atom_site_fract_z
Sc1 Sc 0.000 0.000 0.000
Sc2 Sc 0.333 0.667 0.667
Sc3 Sc 0.667 0.333 0.333
Mn1 Mn 0.000 0.000 0.500
Mn2 Mn 0.333 0.667 0.167
Mn3 Mn 0.667 0.333 0.833
Tc1 Tc 0.000 0.000 0.242
Tc2 Tc 0.000 0.000 0.758
Tc3 Tc 0.333 0.667 0.424
Tc4 Tc 0.333 0.667 0.909
Tc5 Tc 0.667 0.333 0.091
Tc6 Tc 0.667 0.333 0.576



(8)
# ScMn2Tc PBE relaxed
# Uncorrected energy, eV/atom: -8.445
# Energy relative to the lowest polymorph listed for this composition, meV/atom: 286
# Space group: No. 160
# Formation energy from the elements, eV per atom: 0.3139
data_ScMn2Tc
_space_group_name_H-M_alt 'P 1'
_space_group_IT_number 1
_cell_length_a 2.846
_cell_length_b 2.846
_cell_length_c 25.826
_cell_angle_alpha 90.00
_cell_angle_beta 90.00
_cell_angle_gamma 120.00
loop_
_space_group_symop_operation_xyz
'x,y,z'
loop_
_atom_site_label
_atom_site_type_symbol
_atom_site_fract_x
_atom_site_fract_y
_atom_site_fract_z
Sc1 Sc 0.000 0.000 0.000
Sc2 Sc 0.333 0.667 0.667
Sc3 Sc 0.667 0.333 0.333
Mn1 Mn 0.000 0.000 0.243
Mn2 Mn 0.000 0.000 0.499
Mn3 Mn 0.333 0.667 0.166
Mn4 Mn 0.333 0.667 0.910
Mn5 Mn 0.667 0.333 0.577
Mn6 Mn 0.667 0.333 0.833
Tc1 Tc 0.000 0.000 0.760
Tc2 Tc 0.333 0.667 0.426
Tc3 Tc 0.667 0.333 0.093



For reference, calculated volume by record: 16.3; 14.8; 14.0; 14.7; 13.7; 16.2; 15.4; 15.1 A^3/atom.